# 1
The following is a PBE calculation of crystalline Pm12SmRu4 at its relaxed geometry, from the Alexandria database.

Results
* energy of formation from the pure elements: -43 meV/atom
* uncorrected energy: -5.857 eV per atom
* DOS at the Fermi energy: 15.71 states/eV/cell

a b c (Å): 9.0105 9.0105 9.0105
angles (deg): 109.47 109.47 109.47
With the nearest neighbours (Å) after each atom.
Fractional positions:
1 Pm 0.1354 0.3126 0.8227  2 Ru 2.79
2 Pm 0.1773 0.4899 0.3126  2 Ru 2.79
3 Pm 0.1773 0.8646 0.6874  2 Ru 2.79
4 Pm 0.3126 0.1773 0.4899  2 Ru 2.79
5 Pm 0.3126 0.8227 0.1354  2 Ru 2.79
6 Pm 0.4899 0.3126 0.1773  2 Ru 2.79
7 Pm 0.5101 0.6874 0.8227  2 Ru 2.79
8 Pm 0.6874 0.1773 0.8646  2 Ru 2.79
9 Pm 0.6874 0.8227 0.5101  2 Ru 2.79
10 Pm 0.8227 0.1354 0.3126  2 Ru 2.79
11 Pm 0.8227 0.5101 0.6874  2 Ru 2.79
12 Pm 0.8646 0.6874 0.1773  2 Ru 2.79
13 Sm 0.0000 0.0000 0.0000  12 Pm 3.74
14 Ru 0.0000 0.0000 0.5000  6 Pm 2.79
15 Ru 0.0000 0.5000 0.0000  6 Pm 2.79
16 Ru 0.5000 0.0000 0.0000  6 Pm 2.79
17 Ru 0.5000 0.5000 0.5000  6 Pm 2.79

=====

# 2
The following is a PBE calculation of crystalline SiAs2Ru at its relaxed geometry, from the Alexandria database.

Results
* uncorrected energy: -5.884 eV per atom
* formation energy (no corrections): 115.9 meV per atom
* DOS at the Fermi energy: 2.28 states/eV/cell

a b c (Å): 6.6271 6.6271 6.6271
angles (deg): 129.35 129.35 74.44
With the nearest neighbours (Å) after each atom.
Fractional positions:
1 Si 0.0000 0.0000 0.0000  4 As 2.41
2 Si 0.7500 0.2500 0.5000  4 As 2.41
3 As 0.1290 0.6250 0.0040  2 Ru 2.39, 2 Si 2.41
4 As 0.3750 0.3790 0.5040  2 Ru 2.39, 2 Si 2.41
5 As 0.6210 0.1250 0.9960  2 Ru 2.39, 2 Si 2.41
6 As 0.8750 0.8710 0.4960  2 Ru 2.39, 2 Si 2.41
7 Ru 0.2500 0.7500 0.5000  4 As 2.39
8 Ru 0.5000 0.5000 0.0000  4 As 2.39

=====

# 3
The following is a PBE calculation of crystalline CsTc3Sb at its relaxed geometry, from the Alexandria database.

Results
* uncorrected energy: -4.272 eV per atom
* formation energy (no corrections): 2942.4 meV per atom
* DOS at the Fermi energy: 4.82 states/eV/cell

a b c (Å): 5.0051 5.0051 5.0051
angles (deg): 90.00 90.00 90.00
With the nearest neighbours (Å) after each atom.
Fractional positions:
1 Cs 0.0000 0.0000 0.0000  6 Tc 2.50
2 Tc 0.0000 0.0000 0.5000  2 Cs 2.50
3 Tc 0.0000 0.5000 0.0000  2 Cs 2.50
4 Tc 0.5000 0.0000 0.0000  2 Cs 2.50
5 Sb 0.5000 0.5000 0.5000  12 Tc 3.54

=====

# 4
The following is a PBE calculation of crystalline TlCuPtCl6 at its relaxed geometry, from the Alexandria database.

Results
* uncorrected energy: -3.190 eV per atom
* formation energy (no corrections): -569.5 meV per atom
* DOS at the Fermi energy: 4.81 states/eV/cell

a b c (Å): 6.4837 6.4837 6.9742
angles (deg): 90.00 90.00 120.00
With the nearest neighbours (Å) after each atom.
Fractional positions:
1 Tl 0.0000 0.0000 0.0000  6 Cl 3.22
2 Cu 0.3333 0.6667 0.5000  6 Cl 2.53
3 Pt 0.6667 0.3333 0.5000  6 Cl 2.37
4 Cl 0.3787 0.0189 0.6909  1 Pt 2.37, 1 Cu 2.53
5 Cl 0.3787 0.3597 0.3091  1 Pt 2.37, 1 Cu 2.53
6 Cl 0.6403 0.0189 0.3091  1 Pt 2.37, 1 Cu 2.53
7 Cl 0.6403 0.6213 0.6909  1 Pt 2.37, 1 Cu 2.53
8 Cl 0.9811 0.3597 0.6909  1 Pt 2.37, 1 Cu 2.53
9 Cl 0.9811 0.6213 0.3091  1 Pt 2.37, 1 Cu 2.53

=====

# 5
The following is a PBE calculation of crystalline Ce2PmScBi4 at its relaxed geometry, from the Alexandria database.

Results
* energy of formation from the pure elements: -779 meV/atom
* uncorrected energy: -5.588 eV per atom
* DOS at the Fermi energy: 14.14 states/eV/cell

a b c (Å): 7.8230 4.5201 7.8240
angles (deg): 90.00 109.51 90.00
With the nearest neighbours (Å) after each atom.
Fractional positions:
1 Ce 0.0000 0.0000 0.0000  6 Bi 3.19
2 Ce 0.0000 0.5000 0.5000  6 Bi 3.29
3 Pm 0.5000 0.0000 0.5000  6 Bi 3.20
4 Sc 0.5000 0.5000 0.0000  6 Bi 3.10
5 Bi 0.2567 0.5000 0.2423  1 Sc 3.10, 3 Ce 3.19-3.29, 2 Pm 3.20
6 Bi 0.2640 0.0000 0.7645  2 Sc 3.10, 3 Ce 3.19-3.29, 1 Pm 3.20
7 Bi 0.7360 0.0000 0.2355  2 Sc 3.10, 3 Ce 3.19-3.29, 1 Pm 3.20
8 Bi 0.7433 0.5000 0.7577  1 Sc 3.10, 3 Ce 3.19-3.29, 2 Pm 3.20

=====

# 6
The following is a PBE calculation of crystalline Nb2V3Ga5 at its relaxed geometry, from the Alexandria database.

Results
* energy of formation from the pure elements: 117 meV/atom
* uncorrected energy: -6.146 eV per atom
* DOS at the Fermi energy: 16.21 states/eV/cell

a b c (Å): 8.5005 8.5005 8.5005
angles (deg): 108.42 82.45 144.64
With the nearest neighbours (Å) after each atom.
Fractional positions:
1 Nb 0.2094 0.1279 0.3374  1 V 2.60, 3 Ga 2.70-2.76
2 Nb 0.2906 0.6279 0.9185  1 V 2.60, 3 Ga 2.70-2.76
3 Nb 0.7094 0.3721 0.0815  1 V 2.60, 3 Ga 2.70-2.76
4 Nb 0.7906 0.8721 0.6626  1 V 2.60, 3 Ga 2.70-2.76
5 V 0.1646 0.4229 0.5875  3 Ga 2.47-2.59, 1 Nb 2.60
6 V 0.2500 0.2500 0.0000  6 Ga 2.52-2.68, 2 V 2.58
7 V 0.3354 0.9229 0.2583  3 Ga 2.47-2.59, 1 Nb 2.60
8 V 0.6646 0.0771 0.7417  3 Ga 2.47-2.59, 1 Nb 2.60
9 V 0.7500 0.7500 0.0000  6 Ga 2.52-2.68, 2 V 2.58
10 V 0.8354 0.5771 0.4125  3 Ga 2.47-2.59, 1 Nb 2.60
11 Ga 0.1485 0.8619 0.0104  3 V 2.47-2.68, 2 Ga 2.57, 3 Nb 2.70-2.76
12 Ga 0.2500 0.5035 0.2535  5 Ga 2.45-2.58, 1 V 2.52
13 Ga 0.2500 0.7500 0.5000  4 Ga 2.45-2.58, 4 V 2.59
14 Ga 0.2500 0.9965 0.7465  5 Ga 2.45-2.58, 1 V 2.52
15 Ga 0.3515 0.3619 0.7134  3 V 2.47-2.68, 2 Ga 2.57, 3 Nb 2.70-2.76
16 Ga 0.6485 0.6381 0.2866  3 V 2.47-2.68, 2 Ga 2.57, 3 Nb 2.70-2.76
17 Ga 0.7500 0.0035 0.2535  5 Ga 2.45-2.58, 1 V 2.52
18 Ga 0.7500 0.2500 0.5000  4 Ga 2.45-2.58, 4 V 2.59
19 Ga 0.7500 0.4965 0.7465  5 Ga 2.45-2.58, 1 V 2.52
20 Ga 0.8515 0.1381 0.9896  3 V 2.47-2.68, 2 Ga 2.57, 3 Nb 2.70-2.76

=====

# 7
The following is a PBE calculation of crystalline Sr2ScP at its relaxed geometry, from the Alexandria database.

Results
* energy of formation from the pure elements: -506 meV/atom
* uncorrected energy: -4.282 eV per atom
* DOS at the Fermi energy: 3.23 states/eV/cell

a b c (Å): 9.4929 9.4929 9.4929
angles (deg): 157.69 156.03 32.97
With the nearest neighbours (Å) after each atom.
Fractional positions:
1 Sr 0.1578 0.1578 0.0000  2 P 3.41, 2 Sc 3.48, 2 Sr 3.67
2 Sr 0.8422 0.8422 0.0000  2 P 3.41, 2 Sc 3.48, 2 Sr 3.67
3 Sc 0.5000 0.0000 0.5000  4 P 2.69
4 P 0.0000 0.5000 0.5000  4 Sc 2.69

=====

# 8
The following is a PBE calculation of crystalline LiHfV2 at its relaxed geometry, from the Alexandria database.

Results
* energy of formation from the pure elements: 580 meV/atom
* uncorrected energy: -6.946 eV per atom
* DOS at the Fermi energy: 5.15 states/eV/cell

a b c (Å): 4.4668 4.4668 4.4668
angles (deg): 60.00 60.00 60.00
With the nearest neighbours (Å) after each atom.
Fractional positions:
1 Li 0.0000 0.0000 0.0000  8 V 2.74
2 Hf 0.5000 0.5000 0.5000  8 V 2.74
3 V 0.2500 0.2500 0.2500  4 Hf 2.74, 4 Li 2.74
4 V 0.7500 0.7500 0.7500  4 Hf 2.74, 4 Li 2.74

=====

# 9
The following is a PBE calculation of crystalline CuTe2Pb at its relaxed geometry, from the Alexandria database.

Results
* uncorrected energy: -3.485 eV per atom
* formation energy (no corrections): 36.7 meV per atom
* DOS at the Fermi energy: 2.32 states/eV/cell

a b c (Å): 8.0316 8.0316 8.0316
angles (deg): 154.06 150.73 39.51
With the nearest neighbours (Å) after each atom.
Fractional positions:
1 Cu 0.0000 0.0000 0.0000  6 Te 2.80-2.87
2 Te 0.1413 0.6413 0.5000  2 Cu 2.80
3 Te 0.4380 0.4380 0.0000  4 Cu 2.87
4 Pb 0.7638 0.2638 0.5000  6 Te 3.29-3.32, 2 Pb 3.61

=====

# 10
The following is a PBE calculation of crystalline Al2VSn at its relaxed geometry, from the Alexandria database.

Results
* energy of formation from the pure elements: 472 meV/atom
* uncorrected energy: -4.680 eV per atom
* DOS at the Fermi energy: 6.83 states/eV/cell

a b c (Å): 6.0228 6.0228 6.0228
angles (deg): 101.54 101.54 126.86
With the nearest neighbours (Å) after each atom.
Fractional positions:
1 Al 0.0957 0.6250 0.9707  2 V 2.63, 2 Al 2.73, 2 Sn 2.93
2 Al 0.3750 0.3457 0.4707  2 V 2.63, 2 Al 2.73, 2 Sn 2.93
3 Al 0.6543 0.1250 0.0293  2 V 2.63, 2 Al 2.73, 2 Sn 2.93
4 Al 0.8750 0.9043 0.5293  2 V 2.63, 2 Al 2.73, 2 Sn 2.93
5 V 0.0000 0.0000 0.0000  4 Al 2.63, 2 Sn 2.69
6 V 0.7500 0.2500 0.5000  4 Al 2.63, 2 Sn 2.69
7 Sn 0.2500 0.7500 0.5000  2 V 2.69, 4 Al 2.93
8 Sn 0.5000 0.5000 0.0000  2 V 2.69, 4 Al 2.93

=====

# 11
The following is a PBE calculation of crystalline CaHg2Au2 at its relaxed geometry, from the Alexandria database.

Results
* energy of formation from the pure elements: -373 meV/atom
* uncorrected energy: -2.205 eV per atom
* DOS at the Fermi energy: 1.16 states/eV/cell

a b c (Å): 5.7352 5.7352 5.6024
angles (deg): 117.58 117.58 48.56
With the nearest neighbours (Å) after each atom.
Fractional positions:
1 Ca 0.0000 0.0000 0.0000  6 Au 3.15-3.38, 6 Hg 3.34
2 Hg 0.3639 0.3639 0.2317  4 Au 2.84-3.03, 1 Hg 2.91
3 Hg 0.6361 0.6361 0.7683  4 Au 2.84-3.03, 1 Hg 2.91
4 Au 0.2831 0.2831 0.6655  4 Hg 2.84-3.03, 2 Au 2.86, 2 Ca 3.15
5 Au 0.7169 0.7169 0.3345  4 Hg 2.84-3.03, 2 Au 2.86, 2 Ca 3.15